Entry 1:
# V3N PBE relaxed
# Symmetry: No. 25
# Spin magnetization in μB per cell: 0.0
# VASP energy in eV/atom: -9.223
data_V3N
_chemical_formula_sum 'V3 N1'
_symmetry_space_group_name_H-M 'P 1'
_symmetry_Int_Tables_number 1
_cell_length_a 2.6221
_cell_length_b 2.5933
_cell_length_c 6.9174
_cell_angle_alpha 90.00
_cell_angle_beta 90.00
_cell_angle_gamma 90.00
loop_
_symmetry_equiv_pos_as_xyz
'x,y,z'
loop_
_atom_site_label
_atom_site_fract_x
_atom_site_fract_y
_atom_site_fract_z
_atom_site_occupancy
V1 0.5000 0.5000 0.1150 1
V2 0.5000 0.0000 0.7634 1
V3 0.0000 0.5000 0.4654 1
N1 0.0000 0.0000 0.9894 1



Entry 2:
# AcAg6Sn2 PBE relaxed
# Symmetry: No. 191
# Spin magnetization in μB per cell: 0.0
# Formation enthalpy at 0 K in eV per atom: 0.06
data_AcAg6Sn2
_chemical_formula_sum 'Ac1 Ag6 Sn2'
_symmetry_space_group_name_H-M 'P 1'
_symmetry_Int_Tables_number 1
_cell_length_a 5.7999
_cell_length_b 5.7999
_cell_length_c 8.0574
_cell_angle_alpha 90.00
_cell_angle_beta 90.00
_cell_angle_gamma 120.00
loop_
_symmetry_equiv_pos_as_xyz
'x,y,z'
loop_
_atom_site_label
_atom_site_fract_x
_atom_site_fract_y
_atom_site_fract_z
_atom_site_occupancy
Ag1 0.0000 0.4999 0.8069 1
Ag2 0.4999 0.4999 0.1931 1
Ag3 0.5001 0.5001 0.8069 1
Ag4 0.0000 0.5001 0.1931 1
Ag5 0.5001 0.0000 0.1931 1
Ag6 0.4999 0.0000 0.8069 1
Ac1 0.0000 0.0000 0.0000 1
Sn1 0.6667 0.3333 0.5000 1
Sn2 0.3333 0.6667 0.5000 1



Entry 3:
# SrSm2Er PBE relaxed
# Symmetry: No. 123
# Spin magnetization in μB per cell: 0.0
# Formation enthalpy at 0 K in eV per atom: 0.13
data_SrSm2Er
_chemical_formula_sum 'Sr1 Sm2 Er1'
_symmetry_space_group_name_H-M 'P 1'
_symmetry_Int_Tables_number 1
_cell_length_a 4.0726
_cell_length_b 4.0726
_cell_length_c 9.1498
_cell_angle_alpha 90.00
_cell_angle_beta 90.00
_cell_angle_gamma 90.00
loop_
_symmetry_equiv_pos_as_xyz
'x,y,z'
loop_
_atom_site_label
_atom_site_fract_x
_atom_site_fract_y
_atom_site_fract_z
_atom_site_occupancy
Er1 0.5000 0.5000 0.0000 1
Sm1 0.0000 0.0000 0.7959 1
Sm2 0.0000 0.0000 0.2041 1
Sr1 0.5000 0.5000 0.5000 1



Entry 4:
# Y2ZrSe PBE relaxed
# Symmetry: No. 166
# Spin magnetization in μB per cell: 0.0
# VASP energy in eV/atom: -6.956
data_Y2ZrSe
_chemical_formula_sum 'Y2 Zr1 Se1'
_symmetry_space_group_name_H-M 'P 1'
_symmetry_Int_Tables_number 1
_cell_length_a 9.4184
_cell_length_b 9.4184
_cell_length_c 9.4184
_cell_angle_alpha 22.42
_cell_angle_beta 22.42
_cell_angle_gamma 22.42
loop_
_symmetry_equiv_pos_as_xyz
'x,y,z'
loop_
_atom_site_label
_atom_site_fract_x
_atom_site_fract_y
_atom_site_fract_z
_atom_site_occupancy
Se1 0.7500 0.7500 0.7500 1
Y1 0.4880 0.4880 0.4880 1
Y2 0.0120 0.0120 0.0120 1
Zr1 0.2500 0.2500 0.2500 1



Entry 5:
# Ce5GaRh6 PBE relaxed
# Symmetry: No. 12
# Spin magnetization in μB per cell: 0.5
# Formation enthalpy at 0 K in eV per atom: -0.72
data_Ce5GaRh6
_chemical_formula_sum 'Ce5 Ga1 Rh6'
_symmetry_space_group_name_H-M 'P 1'
_symmetry_Int_Tables_number 1
_cell_length_a 7.6609
_cell_length_b 5.4410
_cell_length_c 7.2139
_cell_angle_alpha 67.84
_cell_angle_beta 79.80
_cell_angle_gamma 62.01
loop_
_symmetry_equiv_pos_as_xyz
'x,y,z'
loop_
_atom_site_label
_atom_site_fract_x
_atom_site_fract_y
_atom_site_fract_z
_atom_site_occupancy
Ce1 0.0000 0.3567 0.2866 1
Ce2 0.0000 0.6433 0.7134 1
Ce3 0.5000 0.8223 0.3554 1
Ce4 0.5000 0.1777 0.6446 1
Ce5 0.5000 0.5000 0.0000 1
Rh1 0.2176 0.9869 0.6606 1
Rh2 0.7824 0.0131 0.3394 1
Rh3 0.7824 0.3525 0.6606 1
Rh4 0.7195 0.8675 0.0000 1
Rh5 0.2176 0.6475 0.3394 1
Rh6 0.2805 0.1325 0.0000 1
Ga1 0.0000 0.0000 0.0000 1



Entry 6:
# TaRe2Ag PBE relaxed
# Symmetry: No. 8
# Spin magnetization in μB per cell: 0.0
# Formation enthalpy at 0 K in eV per atom: 0.35
data_TaRe2Ag
_chemical_formula_sum 'Ta1 Re2 Ag1'
_symmetry_space_group_name_H-M 'P 1'
_symmetry_Int_Tables_number 1
_cell_length_a 4.9778
_cell_length_b 4.9778
_cell_length_c 4.7507
_cell_angle_alpha 75.86
_cell_angle_beta 75.86
_cell_angle_gamma 35.03
loop_
_symmetry_equiv_pos_as_xyz
'x,y,z'
loop_
_atom_site_label
_atom_site_fract_x
_atom_site_fract_y
_atom_site_fract_z
_atom_site_occupancy
Re1 0.0117 0.0117 0.9831 1
Re2 0.7447 0.7447 0.7627 1
Ag1 0.2527 0.2527 0.2509 1
Ta1 0.4908 0.4908 0.5033 1